1.
{"formula": "BaVH", "functional": "PBE", "state": "relaxed", "n_ef_per_ev_atom": 1.187, "space_group": "No. 62", "total_energy_ev_per_atom": -4.30, "lattice": [[7.6163, 0.0000, 0.0000], [0.0000, 3.3245, 0.0000], [0.0000, 0.0000, 10.6285]], "species": ["Ba", "Ba", "Ba", "Ba", "V", "V", "V", "V", "H", "H", "H", "H"], "frac_coords": [[0.0162, 0.2500, 0.1859], [0.4838, 0.7500, 0.6859], [0.5162, 0.2500, 0.3141], [0.9838, 0.7500, 0.8141], [0.1565, 0.7500, 0.4838], [0.3435, 0.2500, 0.9838], [0.6565, 0.7500, 0.0162], [0.8435, 0.2500, 0.5162], [0.2036, 0.7500, 0.0093], [0.2964, 0.2500, 0.5093], [0.7036, 0.7500, 0.4907], [0.7964, 0.2500, 0.9907]]}

2.
{"formula": "Li2MnGa4", "functional": "PBE", "state": "relaxed", "n_ef_per_ev_atom": 0.297, "space_group": "No. 139", "formation_enthalpy_0k_ev_per_atom": -0.18, "total_energy_ev_per_atom": -3.77, "lattice": [[-2.8898, 2.8898, 3.1740], [2.8898, -2.8898, 3.1740], [2.8898, 2.8898, -3.1740]], "species": ["Li", "Li", "Mn", "Ga", "Ga", "Ga", "Ga"], "frac_coords": [[0.0000, 0.5000, 0.5000], [0.5000, 0.0000, 0.5000], [0.0000, 0.0000, 0.0000], [0.0000, 0.0000, 0.5000], [0.0000, 0.5000, 0.0000], [0.5000, 0.0000, 0.0000], [0.5000, 0.5000, 0.5000]]}

3.
{"formula": "CeYGa2Cu2", "functional": "PBE", "state": "relaxed", "n_ef_per_ev_atom": 1.037, "space_group": "No. 164", "formation_enthalpy_0k_ev_per_atom": -0.45, "total_energy_ev_per_atom": -4.89, "lattice": [[4.3635, 0.0000, 0.0000], [-2.1817, 3.7789, 0.0000], [0.0000, 0.0000, 7.3099]], "species": ["Ce", "Y", "Ga", "Ga", "Cu", "Cu"], "frac_coords": [[0.0000, 0.0000, 0.0000], [0.0000, 0.0000, 0.5000], [0.3333, 0.6667, 0.2512], [0.6667, 0.3333, 0.7488], [0.3333, 0.6667, 0.7350], [0.6667, 0.3333, 0.2650]]}

4.
{"formula": "Tc2HgW", "functional": "PBE", "state": "relaxed", "n_ef_per_ev_atom": 0.705, "space_group": "No. 123", "formation_enthalpy_0k_ev_per_atom": 0.51, "total_energy_ev_per_atom": -7.98, "lattice": [[4.1625, 0.0000, 0.0000], [0.0000, 4.1625, 0.0000], [0.0000, 0.0000, 3.7066]], "species": ["Tc", "Tc", "Hg", "W"], "frac_coords": [[0.0000, 0.5000, 0.0000], [0.5000, 0.0000, 0.0000], [0.0000, 0.0000, 0.5000], [0.5000, 0.5000, 0.5000]]}

5.
{"formula": "MgPd5Au5", "functional": "PBE", "state": "relaxed", "n_ef_per_ev_atom": 0.605, "space_group": "No. 2", "formation_enthalpy_0k_ev_per_atom": -0.14, "total_energy_ev_per_atom": -4.14, "lattice": [[5.6667, 0.0000, 0.0000], [0.0582, 5.7382, 0.0000], [1.3099, 1.4364, 5.9455]], "species": ["Mg", "Pd", "Pd", "Pd", "Pd", "Pd", "Au", "Au", "Au", "Au", "Au"], "frac_coords": [[0.0000, 0.0000, 0.0000], [0.1636, 0.1652, 0.3318], [0.1678, 0.6663, 0.3301], [0.5000, 0.0000, 0.0000], [0.8322, 0.3337, 0.6699], [0.8364, 0.8348, 0.6682], [0.0000, 0.5000, 0.0000], [0.3329, 0.3321, 0.6760], [0.3376, 0.8279, 0.6743], [0.6624, 0.1721, 0.3257], [0.6671, 0.6679, 0.3240]]}

6.
{"formula": "LaPr4Sm2Y2", "functional": "PBE", "state": "relaxed", "n_ef_per_ev_atom": 1.610, "space_group": "No. 12", "formation_enthalpy_0k_ev_per_atom": 0.02, "total_energy_ev_per_atom": -5.14, "lattice": [[7.7848, -2.5969, 0.0000], [7.7848, 2.5969, 0.0000], [-2.5809, 0.0000, 7.7729]], "species": ["La", "Pr", "Pr", "Pr", "Pr", "Sm", "Sm", "Y", "Y"], "frac_coords": [[0.0000, 0.0000, 0.0000], [0.2226, 0.2226, 0.3317], [0.4449, 0.4449, 0.6666], [0.5551, 0.5551, 0.3334], [0.7774, 0.7774, 0.6683], [0.1111, 0.1111, 0.6663], [0.8889, 0.8889, 0.3337], [0.3316, 0.3316, 0.0015], [0.6684, 0.6684, 0.9985]]}

7.
{"formula": "La8CoNi3I4", "functional": "PBE", "state": "relaxed", "n_ef_per_ev_atom": 0.797, "formation_energy_uncorrected_mev_per_atom": -728, "space_group": "No. 12", "total_energy_ev_per_atom": -5.11, "lattice": [[7.3268, -4.1572, 0.0000], [7.3268, 4.1572, 0.0000], [-4.8639, 0.0000, 8.2201]], "species": ["La", "La", "La", "La", "La", "La", "La", "La", "Co", "Ni", "Ni", "Ni", "I", "I", "I", "I"], "frac_coords": [[0.2253, 0.7368, 0.6827], [0.2275, 0.2275, 0.6839], [0.2632, 0.7747, 0.3173], [0.2711, 0.2711, 0.3174], [0.7289, 0.7289, 0.6826], [0.7368, 0.2253, 0.6827], [0.7725, 0.7725, 0.3161], [0.7747, 0.2632, 0.3173], [0.0000, 0.0000, 0.5000], [0.0000, 0.5000, 0.5000], [0.5000, 0.0000, 0.5000], [0.5000, 0.5000, 0.5000], [0.0000, 0.0000, 0.0000], [0.0000, 0.5000, 0.0000], [0.5000, 0.0000, 0.0000], [0.5000, 0.5000, 0.0000]]}

8.
{"formula": "InB2Mo", "functional": "PBE", "state": "relaxed", "n_ef_per_ev_atom": 0.551, "space_group": "No. 122", "formation_enthalpy_0k_ev_per_atom": 0.92, "total_energy_ev_per_atom": -5.81, "lattice": [[-2.7233, 2.7233, 4.4421], [2.7233, -2.7233, 4.4421], [2.7233, 2.7233, -4.4421]], "species": ["In", "In", "B", "B", "B", "B", "Mo", "Mo"], "frac_coords": [[0.0000, 0.0000, 0.0000], [0.7500, 0.2500, 0.5000], [0.1685, 0.6250, 0.0435], [0.3750, 0.4185, 0.5435], [0.5815, 0.1250, 0.9565], [0.8750, 0.8315, 0.4565], [0.2500, 0.7500, 0.5000], [0.5000, 0.5000, 0.0000]]}

9.
{"formula": "CsHCl2", "functional": "PBE", "state": "relaxed", "n_ef_per_ev_atom": 3.594, "space_group": "No. 225", "total_energy_ev_per_atom": -2.16, "lattice": [[0.0000, 4.0672, 4.0672], [4.0672, 0.0000, 4.0672], [4.0672, 4.0672, 0.0000]], "species": ["Cs", "H", "Cl", "Cl"], "frac_coords": [[0.0000, 0.0000, 0.0000], [0.5000, 0.5000, 0.5000], [0.2500, 0.2500, 0.2500], [0.7500, 0.7500, 0.7500]]}

10.
{"formula": "SnMo2Pb", "functional": "PBE", "state": "relaxed", "n_ef_per_ev_atom": 1.271, "space_group": "No. 225", "formation_enthalpy_0k_ev_per_atom": 0.65, "total_energy_ev_per_atom": -6.70, "lattice": [[0.0000, 3.3655, 3.3655], [3.3655, 0.0000, 3.3655], [3.3655, 3.3655, 0.0000]], "species": ["Sn", "Mo", "Mo", "Pb"], "frac_coords": [[0.0000, 0.0000, 0.0000], [0.2500, 0.2500, 0.2500], [0.7500, 0.7500, 0.7500], [0.5000, 0.5000, 0.5000]]}

11.
{"formula": "AsCSe2", "functional": "PBE", "state": "relaxed", "n_ef_per_ev_atom": 0.507, "formation_energy_uncorrected_mev_per_atom": 992, "space_group": "No. 166", "total_energy_ev_per_atom": -4.22, "lattice": [[2.1710, 1.2534, 6.4602], [-2.1710, 1.2534, 6.4602], [0.0000, -2.5068, 6.4602]], "species": ["As", "C", "Se", "Se"], "frac_coords": [[0.0000, 0.0000, 0.0000], [0.5000, 0.5000, 0.5000], [0.4100, 0.4100, 0.4100], [0.5900, 0.5900, 0.5900]]}

12.
{"formula": "CuHgTe2", "functional": "PBE", "state": "relaxed", "n_ef_per_ev_atom": 0.684, "formation_energy_uncorrected_mev_per_atom": -78, "space_group": "No. 33", "total_energy_ev_per_atom": -2.75, "lattice": [[7.5752, 0.0000, 0.0000], [0.0000, 8.7749, 0.0000], [0.0000, 0.0000, 7.3541]], "species": ["Cu", "Cu", "Cu", "Cu", "Hg", "Hg", "Hg", "Hg", "Te", "Te", "Te", "Te", "Te", "Te", "Te", "Te"], "frac_coords": [[0.0743, 0.1248, 0.0000], [0.4257, 0.6248, 0.5000], [0.5743, 0.3752, 0.0000], [0.9257, 0.8752, 0.5000], [0.0860, 0.6239, 0.9953], [0.4140, 0.1239, 0.4953], [0.5860, 0.8761, 0.9953], [0.9140, 0.3761, 0.4953], [0.0666, 0.1070, 0.6524], [0.1043, 0.6436, 0.6089], [0.3957, 0.1436, 0.1089], [0.4334, 0.6070, 0.1524], [0.5666, 0.3930, 0.6524], [0.6043, 0.8564, 0.6089], [0.8957, 0.3564, 0.1089], [0.9334, 0.8930, 0.1524]]}

13.
{"formula": "LiBiSbPd", "functional": "PBE", "state": "relaxed", "n_ef_per_ev_atom": 0.506, "formation_energy_uncorrected_mev_per_atom": -306, "space_group": "No. 216", "total_energy_ev_per_atom": -4.08, "lattice": [[0.0000, 3.4942, 3.4942], [3.4942, 0.0000, 3.4942], [3.4942, 3.4942, 0.0000]], "species": ["Li", "Bi", "Sb", "Pd"], "frac_coords": [[0.0000, 0.0000, 0.0000], [0.2500, 0.2500, 0.2500], [0.7500, 0.7500, 0.7500], [0.5000, 0.5000, 0.5000]]}

14.
{"formula": "Ta2H2Ir", "functional": "PBE", "state": "relaxed", "n_ef_per_ev_atom": 0.151, "space_group": "No. 139", "total_energy_ev_per_atom": -8.23, "lattice": [[-1.4626, 1.4626, 6.4428], [1.4626, -1.4626, 6.4428], [1.4626, 1.4626, -6.4428]], "species": ["Ta", "Ta", "H", "H", "Ir"], "frac_coords": [[0.1475, 0.1475, 0.0000], [0.8524, 0.8524, 0.0000], [0.2500, 0.7500, 0.5000], [0.7500, 0.2500, 0.5000], [0.5000, 0.5000, 0.0000]]}

15.
{"formula": "KScS4", "functional": "PBE", "state": "relaxed", "formation_energy_uncorrected_mev_per_atom": -1114, "space_group": "No. 125", "total_energy_ev_per_atom": -5.10, "lattice": [[5.7478, 0.0000, 0.0000], [0.0000, 5.7478, 0.0000], [0.0000, 0.0000, 7.8723]], "species": ["K", "K", "Sc", "Sc", "S", "S", "S", "S", "S", "S", "S", "S"], "frac_coords": [[0.2500, 0.2500, 0.0000], [0.7500, 0.7500, 0.0000], [0.2500, 0.2500, 0.5000], [0.7500, 0.7500, 0.5000], [0.1203, 0.6203, 0.3051], [0.1203, 0.8797, 0.6949], [0.3797, 0.6203, 0.6949], [0.3797, 0.8797, 0.3051], [0.6203, 0.1203, 0.6949], [0.6203, 0.3797, 0.3051], [0.8797, 0.1203, 0.3051], [0.8797, 0.3797, 0.6949]]}

16.
{"formula": "Ce4ErTl3", "functional": "PBE", "state": "relaxed", "n_ef_per_ev_atom": 2.025, "space_group": "No. 12", "formation_enthalpy_0k_ev_per_atom": -0.18, "total_energy_ev_per_atom": -4.60, "lattice": [[10.0132, -2.2897, 0.0000], [10.0132, 2.2897, 0.0000], [-0.8333, 0.0000, 4.7541]], "species": ["Ce", "Ce", "Ce", "Ce", "Er", "Tl", "Tl", "Tl"], "frac_coords": [[0.1328, 0.1328, 0.0756], [0.2366, 0.2366, 0.7710], [0.7634, 0.7634, 0.2290], [0.8672, 0.8672, 0.9244], [0.0000, 0.0000, 0.5000], [0.3770, 0.3770, 0.4326], [0.5000, 0.5000, 0.0000], [0.6230, 0.6230, 0.5674]]}

17.
{"formula": "CaNd6Dy", "functional": "PBE", "state": "relaxed", "n_ef_per_ev_atom": 1.452, "space_group": "No. 2", "formation_enthalpy_0k_ev_per_atom": 0.19, "total_energy_ev_per_atom": -4.22, "lattice": [[6.6917, 0.0000, 0.0000], [-0.2117, 6.9741, 0.0000], [-1.4348, -3.4839, 6.0882]], "species": ["Ca", "Nd", "Nd", "Nd", "Nd", "Nd", "Nd", "Dy"], "frac_coords": [[0.0000, 0.0000, 0.0000], [0.2436, 0.5741, 0.4762], [0.2540, 0.5545, 0.9999], [0.2770, 0.1028, 0.5340], [0.7230, 0.8972, 0.4660], [0.7460, 0.4455, 0.0001], [0.7564, 0.4259, 0.5238], [0.5000, 0.0000, 0.0000]]}

18.
{"formula": "KRe2Rh", "functional": "PBE", "state": "relaxed", "n_ef_per_ev_atom": 1.068, "space_group": "No. 225", "formation_enthalpy_0k_ev_per_atom": 1.79, "total_energy_ev_per_atom": -6.55, "lattice": [[0.0000, 3.2012, 3.2012], [3.2012, 0.0000, 3.2012], [3.2012, 3.2012, 0.0000]], "species": ["K", "Re", "Re", "Rh"], "frac_coords": [[0.0000, 0.0000, 0.0000], [0.2500, 0.2500, 0.2500], [0.7500, 0.7500, 0.7500], [0.5000, 0.5000, 0.5000]]}

19.
{"formula": "Nd2MgIn3", "functional": "PBE", "state": "relaxed", "n_ef_per_ev_atom": 1.047, "space_group": "No. 71", "formation_enthalpy_0k_ev_per_atom": -0.15, "total_energy_ev_per_atom": -3.38, "lattice": [[-2.5874, 3.2003, 5.4633], [2.5874, -3.2003, 5.4633], [2.5874, 3.2003, -5.4633]], "species": ["Nd", "Nd", "Mg", "In", "In", "In"], "frac_coords": [[0.1794, 0.1794, 0.0000], [0.8206, 0.8206, 0.0000], [0.5000, 0.5000, 0.0000], [0.0000, 0.5000, 0.5000], [0.3572, 0.8572, 0.5000], [0.6428, 0.1428, 0.5000]]}

20.
{"formula": "YTm3Sn2", "functional": "PBE", "state": "relaxed", "n_ef_per_ev_atom": 1.072, "space_group": "No. 12", "formation_enthalpy_0k_ev_per_atom": -0.48, "total_energy_ev_per_atom": -5.13, "lattice": [[8.8713, -2.2458, 0.0000], [8.8713, 2.2458, 0.0000], [-3.7252, 0.0000, 8.6476]], "species": ["Y", "Y", "Tm", "Tm", "Tm", "Tm", "Tm", "Tm", "Sn", "Sn", "Sn", "Sn"], "frac_coords": [[0.1137, 0.1137, 0.1266], [0.8863, 0.8863, 0.8734], [0.0559, 0.0559, 0.6886], [0.3084, 0.3084, 0.1093], [0.3545, 0.3545, 0.5160], [0.6455, 0.6455, 0.4840], [0.6916, 0.6916, 0.8907], [0.9441, 0.9441, 0.3114], [0.2457, 0.2457, 0.7176], [0.4921, 0.4921, 0.1487], [0.5079, 0.5079, 0.8513], [0.7543, 0.7543, 0.2824]]}

21.
{"formula": "SrCdBr", "functional": "PBE", "state": "relaxed", "n_ef_per_ev_atom": 0.862, "formation_energy_uncorrected_mev_per_atom": -833, "space_group": "No. 156", "total_energy_ev_per_atom": -2.26, "lattice": [[4.3331, 0.0000, 0.0000], [-2.1666, 3.7526, 0.0000], [0.0000, 0.0000, 7.2860]], "species": ["Sr", "Cd", "Br"], "frac_coords": [[0.0000, 0.0000, 0.0000], [0.3333, 0.6667, 0.6832], [0.6667, 0.3333, 0.2448]]}

22.
{"formula": "InPSe2", "functional": "PBE", "state": "relaxed", "n_ef_per_ev_atom": 0.852, "formation_energy_uncorrected_mev_per_atom": 352, "space_group": "No. 139", "total_energy_ev_per_atom": -3.43, "lattice": [[-1.9242, 1.9242, 6.0926], [1.9242, -1.9242, 6.0926], [1.9242, 1.9242, -6.0926]], "species": ["In", "P", "Se", "Se"], "frac_coords": [[0.0000, 0.0000, 0.0000], [0.5000, 0.5000, 0.0000], [0.2500, 0.7500, 0.5000], [0.7500, 0.2500, 0.5000]]}

23.
{"formula": "SrGa2Re", "functional": "PBE", "state": "relaxed", "n_ef_per_ev_atom": 1.085, "space_group": "No. 225", "formation_enthalpy_0k_ev_per_atom": 0.39, "total_energy_ev_per_atom": -4.65, "lattice": [[0.0000, 3.3847, 3.3847], [3.3847, 0.0000, 3.3847], [3.3847, 3.3847, 0.0000]], "species": ["Sr", "Ga", "Ga", "Re"], "frac_coords": [[0.0000, 0.0000, 0.0000], [0.2500, 0.2500, 0.2500], [0.7500, 0.7500, 0.7500], [0.5000, 0.5000, 0.5000]]}

24.
{"formula": "AgTeAu2C", "functional": "PBE", "state": "relaxed", "n_ef_per_ev_atom": 0.290, "formation_energy_uncorrected_mev_per_atom": 1443, "space_group": "No. 123", "total_energy_ev_per_atom": -2.91, "lattice": [[5.3331, 0.0000, 0.0000], [0.0000, 5.3331, 0.0000], [0.0000, 0.0000, 4.2129]], "species": ["Ag", "Te", "Au", "Au", "C"], "frac_coords": [[0.0000, 0.0000, 0.0000], [0.5000, 0.5000, 0.5000], [0.0000, 0.5000, 0.5000], [0.5000, 0.0000, 0.5000], [0.5000, 0.5000, 0.0000]]}

25.
{"formula": "TbTm4PbS8", "functional": "PBE", "state": "relaxed", "n_ef_per_ev_atom": 0.282, "formation_energy_uncorrected_mev_per_atom": -1758, "space_group": "No. 160", "total_energy_ev_per_atom": -5.99, "lattice": [[4.0220, 2.3221, 6.6453], [-4.0220, 2.3221, 6.6453], [0.0000, -4.6442, 6.6453]], "species": ["Tb", "Tm", "Tm", "Tm", "Tm", "Pb", "S", "S", "S", "S", "S", "S", "S", "S"], "frac_coords": [[0.0000, 0.0000, 0.0000], [0.4923, 0.9994, 0.9994], [0.6232, 0.6232, 0.6232], [0.9994, 0.4923, 0.9994], [0.9994, 0.9994, 0.4923], [0.3715, 0.3715, 0.3715], [0.2261, 0.7529, 0.7529], [0.2323, 0.2323, 0.2323], [0.2369, 0.2369, 0.7892], [0.2369, 0.7892, 0.2369], [0.7529, 0.2261, 0.7529], [0.7529, 0.7529, 0.2261], [0.7555, 0.7555, 0.7555], [0.7892, 0.2369, 0.2369]]}